An optimized crystal structure of CrRe2Ru, computed with GGA-PBE.

Calculated values
Energy above the lowest structure with this stoichiometry   229 meV per atom
Size of the total moment   0.001 μB/f.u.
Uncorrected energy   -42.49 eV for the cell shown
Energy of formation   0.326 eV/atom

CIF file:
```
data_CrRe2Ru
_cell_length_a 4.4495
_cell_length_b 4.4495
_cell_length_c 2.8582
_cell_angle_alpha 90.00
_cell_angle_beta 90.00
_cell_angle_gamma 90.00
_space_group_name_H-M_alt 'P 1'
_space_group_IT_number 1
_space_group_name_Hall 'P 1'
loop_
_atom_site_label
_atom_site_fract_x
_atom_site_fract_y
_atom_site_fract_z
Cr1 0.0000 0.5000 0.5000
Re1 0.0000 0.0000 0.0000
Re2 0.5000 0.5000 0.0000
Ru1 0.5000 0.0000 0.5000
```

An optimized crystal structure of U2H12C2S3N2O16, computed with GGA-PBE.

Calculated values
Size of the total moment   0.000 μB/f.u.
Uncorrected energy   -477.81 eV for the cell shown

CIF file:
```
data_U2H12C2S3N2O16
_cell_length_a 8.7297
_cell_length_b 9.9791
_cell_length_c 10.0260
_cell_angle_alpha 89.71
_cell_angle_beta 83.59
_cell_angle_gamma 88.42
_space_group_name_H-M_alt 'P 1'
_space_group_IT_number 1
_space_group_name_Hall 'P 1'
loop_
_atom_site_label
_atom_site_fract_x
_atom_site_fract_y
_atom_site_fract_z
U1 0.4965 0.8699 0.4800
U2 0.7404 0.3673 0.3421
U3 0.4972 0.2622 0.8667
U4 0.7386 0.7505 0.9529
H1 0.1159 0.3688 0.5650
H2 0.9414 0.4465 0.6037
H3 0.0321 0.3788 0.7266
H4 0.2429 0.5061 0.0150
H5 0.2509 0.6755 0.0216
H6 0.0856 0.6002 0.0697
H7 0.0395 0.1422 0.9942
H8 0.9344 0.0222 0.0721
H9 0.1101 0.9827 0.9939
H10 0.9545 0.8769 0.5195
H11 0.9790 0.8635 0.6849
H12 0.1298 0.8848 0.5673
H13 0.2450 0.5337 0.6796
H14 0.0631 0.6190 0.7254
H15 0.1435 0.6082 0.5522
H16 0.1942 0.4877 0.2548
H17 0.2053 0.6667 0.2665
H18 0.3723 0.5676 0.2041
H19 0.2390 0.1089 0.1481
H20 0.1181 0.9858 0.2337
H21 0.0550 0.1583 0.2344
H22 0.0283 0.1092 0.5188
H23 0.0688 0.0904 0.6893
H24 0.8738 0.0818 0.6484
C1 0.1306 0.5570 0.6494
C2 0.2469 0.5776 0.2091
C3 0.1200 0.0792 0.1760
C4 0.9951 0.0590 0.6144
S1 0.3898 0.2265 0.5279
S2 0.3844 0.9123 0.8441
S3 0.8414 0.7167 0.2928
S4 0.6233 0.5639 0.6619
S5 0.8554 0.3959 0.9809
S6 0.6177 0.0627 0.1618
N1 0.0494 0.4294 0.6352
N2 0.2036 0.5911 0.0696
N3 0.0463 0.0554 0.0510
N4 0.0158 0.9114 0.5954
O1 0.7285 0.4749 0.5718
O2 0.8863 0.3790 0.1238
O3 0.8725 0.5740 0.3303
O4 0.5547 0.2526 0.4801
O5 0.7174 0.1559 0.2260
O6 0.9075 0.2888 0.4043
O7 0.5804 0.4509 0.2775
O8 0.8779 0.7276 0.1423
O9 0.8857 0.5386 0.9395
O10 0.7203 0.6504 0.7378
O11 0.6735 0.7492 0.3274
O12 0.9404 0.8057 0.3568
O13 0.5223 0.4821 0.7575
O14 0.5264 0.6491 0.5813
O15 0.6657 0.9346 0.5408
O16 0.5166 0.9903 0.2648
O17 0.3177 0.8074 0.4317
O18 0.3666 0.0790 0.5161
O19 0.3591 0.8733 0.7048
O20 0.2761 0.8427 0.9418
O21 0.3548 0.0599 0.8609
O22 0.5494 0.8815 0.8630
O23 0.6895 0.3699 0.9707
O24 0.9598 0.3056 0.8954
O25 0.5775 0.6684 0.0412
O26 0.9061 0.8287 0.8623
O27 0.3311 0.3449 0.9607
O28 0.6571 0.1793 0.7701
O29 0.3614 0.2630 0.6741
O30 0.5201 0.1378 0.0732
O31 0.7231 0.9655 0.0796
O32 0.2808 0.3017 0.4543
```